1.
{"formula": "YSn2Pd4", "functional": "GGA-PBE", "state": "optimized geometry", "lattice_angstrom": [[8.021, 0.000, 0.000], [0.000, 8.021, 0.000], [0.000, 0.000, 4.269]], "species": ["Y", "Y", "Sn", "Sn", "Sn", "Sn", "Pd", "Pd", "Pd", "Pd", "Pd", "Pd", "Pd", "Pd"], "frac_coords": [[0.000, 0.000, 0.000], [0.500, 0.500, 0.500], [0.216, 0.216, 0.500], [0.284, 0.716, 0.000], [0.716, 0.284, 0.000], [0.784, 0.784, 0.500], [0.092, 0.653, 0.500], [0.153, 0.408, 0.000], [0.347, 0.908, 0.500], [0.408, 0.153, 0.000], [0.592, 0.847, 0.000], [0.653, 0.092, 0.500], [0.847, 0.592, 0.000], [0.908, 0.347, 0.500]], "total_magnetization_mub_per_fu": 0.0, "crystal_system": "tetragonal", "e_form_mev_per_atom": -622, "e_above_lowest_polymorph_mev_per_atom": 0, "final_energy_ev_per_atom": -5.656}

2.
{"formula": "YSn4Pd2", "functional": "GGA-PBE", "state": "optimized geometry", "lattice_angstrom": [[19.052, 0.000, 0.000], [0.000, 4.424, 0.000], [0.000, 0.000, 7.557]], "species": ["Y", "Y", "Y", "Y", "Sn", "Sn", "Sn", "Sn", "Sn", "Sn", "Sn", "Sn", "Sn", "Sn", "Sn", "Sn", "Sn", "Sn", "Sn", "Sn", "Pd", "Pd", "Pd", "Pd", "Pd", "Pd", "Pd", "Pd"], "frac_coords": [[0.144, 0.250, 0.036], [0.356, 0.750, 0.536], [0.644, 0.250, 0.464], [0.856, 0.750, 0.964], [0.034, 0.750, 0.869], [0.066, 0.250, 0.493], [0.182, 0.750, 0.329], [0.192, 0.750, 0.753], [0.308, 0.250, 0.253], [0.318, 0.250, 0.829], [0.434, 0.750, 0.993], [0.466, 0.250, 0.369], [0.534, 0.750, 0.631], [0.566, 0.250, 0.007], [0.682, 0.750, 0.171], [0.692, 0.750, 0.747], [0.808, 0.250, 0.247], [0.818, 0.250, 0.671], [0.934, 0.750, 0.507], [0.966, 0.250, 0.131], [0.041, 0.750, 0.237], [0.217, 0.250, 0.547], [0.283, 0.750, 0.047], [0.459, 0.250, 0.737], [0.541, 0.750, 0.263], [0.717, 0.250, 0.953], [0.783, 0.750, 0.453], [0.959, 0.250, 0.763]], "total_magnetization_mub_per_fu": 0.0, "crystal_system": "orthorhombic", "e_form_mev_per_atom": -546, "final_energy_ev_per_atom": -5.240}

3.
{"formula": "YSnPd4", "functional": "GGA-PBE", "state": "optimized geometry", "lattice_angstrom": [[0.000, 3.814, 3.814], [3.814, 0.000, 3.814], [3.814, 3.814, 0.000]], "species": ["Y", "Sn", "Pd", "Pd", "Pd", "Pd"], "frac_coords": [[0.000, 0.000, 0.000], [0.750, 0.750, 0.750], [0.375, 0.375, 0.375], [0.375, 0.375, 0.875], [0.375, 0.875, 0.375], [0.875, 0.375, 0.375]], "total_magnetization_mub_per_fu": 0.0, "crystal_system": "cubic", "e_form_mev_per_atom": -608, "e_above_lowest_polymorph_mev_per_atom": 96, "final_energy_ev_per_atom": -5.814}

4.
{"formula": "YSn4Pd15", "functional": "GGA-PBE", "state": "optimized geometry", "lattice_angstrom": [[4.064, 0.000, 0.000], [0.000, 4.064, 0.000], [0.000, 0.000, 20.257]], "species": ["Y", "Sn", "Sn", "Sn", "Sn", "Pd", "Pd", "Pd", "Pd", "Pd", "Pd", "Pd", "Pd", "Pd", "Pd", "Pd", "Pd", "Pd", "Pd", "Pd"], "frac_coords": [[0.000, 0.000, 0.000], [0.000, 0.000, 0.203], [0.000, 0.000, 0.401], [0.000, 0.000, 0.599], [0.000, 0.000, 0.797], [0.000, 0.500, 0.105], [0.000, 0.500, 0.302], [0.000, 0.500, 0.500], [0.000, 0.500, 0.698], [0.000, 0.500, 0.895], [0.500, 0.000, 0.105], [0.500, 0.000, 0.302], [0.500, 0.000, 0.500], [0.500, 0.000, 0.698], [0.500, 0.000, 0.895], [0.500, 0.500, 0.000], [0.500, 0.500, 0.203], [0.500, 0.500, 0.401], [0.500, 0.500, 0.599], [0.500, 0.500, 0.797]], "total_magnetization_mub_per_fu": 0.0, "crystal_system": "tetragonal", "e_form_mev_per_atom": -575, "final_energy_ev_per_atom": -5.593}

5.
{"formula": "YSn2Pd", "functional": "GGA-PBE", "state": "optimized geometry", "lattice_angstrom": [[-2.256, 2.256, 10.012], [2.256, -2.256, 10.012], [2.256, 2.256, -10.012]], "species": ["Y", "Y", "Sn", "Sn", "Sn", "Sn", "Pd", "Pd"], "frac_coords": [[0.000, 0.000, 0.000], [0.750, 0.250, 0.500], [0.170, 0.625, 0.045], [0.375, 0.420, 0.545], [0.580, 0.125, 0.955], [0.875, 0.830, 0.455], [0.250, 0.750, 0.500], [0.500, 0.500, 0.000]], "total_magnetization_mub_per_fu": 0.0, "crystal_system": "tetragonal", "e_form_mev_per_atom": -380, "final_energy_ev_per_atom": -5.296}

6.
{"formula": "YSnPd4", "functional": "GGA-PBE", "state": "optimized geometry", "lattice_angstrom": [[5.451, 0.000, 0.000], [0.000, 8.991, 0.000], [0.000, 0.000, 4.624]], "species": ["Y", "Y", "Sn", "Sn", "Pd", "Pd", "Pd", "Pd", "Pd", "Pd", "Pd", "Pd"], "frac_coords": [[0.000, 0.000, 0.000], [0.500, 0.500, 0.000], [0.000, 0.500, 0.500], [0.500, 0.000, 0.500], [0.039, 0.334, 0.000], [0.155, 0.792, 0.500], [0.345, 0.292, 0.500], [0.461, 0.834, 0.000], [0.539, 0.166, 0.000], [0.655, 0.708, 0.500], [0.845, 0.208, 0.500], [0.961, 0.666, 0.000]], "total_magnetization_mub_per_fu": 0.0, "crystal_system": "orthorhombic", "e_form_mev_per_atom": -703, "e_above_lowest_polymorph_mev_per_atom": 0, "final_energy_ev_per_atom": -5.910}